Material: Ta2SnSb
Method: DFT, PBE-GGA
State: relaxed

Cell lengths 4.8274, 4.8274, 4.8274 Å; angles 60.00, 60.00, 60.00 degrees
Element x y z (fractional)
1 Ta 0.2500 0.2500 0.2500
2 Ta 0.7500 0.7500 0.7500
3 Sn 0.0000 0.0000 0.0000
4 Sb 0.5000 0.5000 0.5000

Raw formation energy ... 261 meV per atom
Density ... 12.6 Mg/m³
Crystal system ... cubic
Volume ... 80 Å³ per cell



Material: CeDy2ErAs4
Method: DFT, PBE-GGA
State: relaxed

Cell lengths 7.1510, 4.1344, 7.1561 Å; angles 90.00, 109.42, 90.00 degrees
Element x y z (fractional)
1 Ce 0.0000 0.0000 0.0000
2 Dy 0.0000 0.5000 0.5000
3 Dy 0.5000 0.0000 0.5000
4 Er 0.5000 0.5000 0.0000
5 As 0.2523 0.0000 0.7509
6 As 0.2533 0.5000 0.2518
7 As 0.7467 0.5000 0.7482
8 As 0.7477 0.0000 0.2491

DFT total energy ... -6.29 eV per atom
Density ... 7.8 Mg/m³
Crystal system ... monoclinic
Volume ... 200 Å³ per cell



Material: AgSbPd2
Method: DFT, PBE-GGA
State: relaxed

Cell lengths 5.9289, 5.9289, 5.9289 Å; angles 103.09, 103.09, 123.16 degrees
Element x y z (fractional)
1 Ag 0.0000 0.0000 0.0000
2 Ag 0.7500 0.2500 0.5000
3 Sb 0.2500 0.7500 0.5000
4 Sb 0.5000 0.5000 0.0000
5 Pd 0.1408 0.1250 0.5158
6 Pd 0.3750 0.8592 0.9842
7 Pd 0.6092 0.6250 0.4842
8 Pd 0.8750 0.3908 0.0158

Raw formation energy ... -85 meV per atom
Density ... 9.6 Mg/m³
Crystal system ... tetragonal
Volume ... 153 Å³ per cell



Material: Gd2TlFe
Method: DFT, PBE-GGA
State: relaxed

Cell lengths 10.2675, 10.2675, 10.2675 Å; angles 20.46, 20.46, 20.46 degrees
Element x y z (fractional)
1 Gd 0.1098 0.1098 0.1098
2 Gd 0.8902 0.8902 0.8902
3 Tl 0.0000 0.0000 0.0000
4 Fe 0.5000 0.5000 0.5000

DFT total energy ... -9.57 eV per atom
Density ... 8.2 Mg/m³
Crystal system ... trigonal
Volume ... 116 Å³ per cell



> Which of these has the highest density?

Ta2SnSb